PaFeSb2O8 (PBE+U, optimized geometry); calculated total energy = -6.91 eV per atom; space group = No. 164; V = 16.27 A^3/atom
1.0
6.147 0.000 0.000
-3.074 5.324 0.000
0.000 0.000 5.964
Pa Fe Sb O
1 1 2 8
Direct
0.000 0.000 0.000
0.000 0.000 0.500
0.333 0.667 0.343
0.667 0.333 0.657
0.152 0.305 0.247
0.152 0.848 0.247
0.305 0.152 0.753
0.333 0.667 0.653
0.667 0.333 0.347
0.695 0.848 0.247
0.848 0.152 0.753
0.848 0.695 0.753